# 1
18
Lattice="2.048 -8.548 0.000 2.048 8.548 0.000 0.000 0.000 12.726" Properties=species:S:1:pos:R:3 comment="PBE Sr2MgPaS5, optimized geometry" magmom_total_mub_per_fu=1.00 crystal_system=orthorhombic spacegroup="Cmc2_1 (36)" e_form_raw_ev_per_fu=-16.03 n_ef_per_ev_fu=5.571 pbc="T T T"
Sr 2.048 6.781 6.363
Sr 2.048 6.361 1.450
Sr 2.048 -6.361 7.813
Sr 2.048 -6.781 0.000
Mg 2.048 0.413 3.470
Mg 2.048 -0.413 9.833
Pa 2.048 4.896 10.501
Pa 2.048 -4.896 4.138
S 2.048 7.554 11.026
S 2.048 3.742 5.978
S 2.048 3.312 2.355
S 2.048 2.205 10.354
S 2.048 0.056 7.486
S 2.048 -0.056 1.123
S 2.048 -2.205 3.991
S 2.048 -3.312 8.718
S 2.048 -3.742 12.340
S 2.048 -7.554 4.664

---

# 2
10
Lattice="6.458 0.000 0.000 0.000 6.458 0.000 0.000 0.000 6.408" Properties=species:S:1:pos:R:3 comment="PBE Tb2MgPaS6, optimized geometry" magmom_total_mub_per_fu=1.02 crystal_system=tetragonal spacegroup="P4mm (99)" e_form_raw_ev_per_fu=-14.24 n_ef_per_ev_fu=5.379 pbc="T T T"
Tb 0.000 3.229 0.000
Tb 3.229 0.000 0.000
Mg 0.000 0.000 3.649
Pa 3.229 3.229 3.763
S 0.000 0.000 1.271
S 1.563 1.563 4.893
S 1.563 4.895 4.893
S 3.229 3.229 1.140
S 4.895 1.563 4.893
S 4.895 4.895 4.893

---

# 3
14
Lattice="6.736 0.000 0.000 0.000 6.717 0.000 -1.627 0.000 8.452" Properties=species:S:1:pos:R:3 comment="PBE MgPaTlS4, optimized geometry" magmom_total_mub_per_fu=0.00 crystal_system=monoclinic spacegroup="P2_1/m (11)" e_form_raw_ev_per_fu=-8.33 pbc="T T T"
Mg 0.358 1.679 2.669
Mg 4.750 5.038 5.783
Pa 1.257 5.038 4.627
Pa 3.851 1.679 3.825
Tl 0.915 1.679 7.628
Tl 4.194 5.038 0.824
S -0.520 1.679 4.948
S 0.094 5.038 6.961
S 2.105 3.399 2.609
S 2.105 6.677 2.609
S 3.003 0.041 5.843
S 3.003 3.318 5.843
S 5.014 1.679 1.491
S 5.629 5.038 3.504

---

# 4
12
Lattice="3.354 -5.813 0.000 3.354 5.813 0.000 -2.229 0.000 7.557" Properties=species:S:1:pos:R:3 comment="PBE Mg2PaTl3S6, optimized geometry" magmom_total_mub_per_fu=0.00 crystal_system=monoclinic spacegroup="C2/m (12)" e_form_raw_ev_per_fu=-13.12 n_ef_per_ev_fu=0.000 pbc="T T T"
Mg 3.354 3.875 0.000
Mg 3.354 -3.875 0.000
Pa 3.354 0.000 0.000
Tl -1.114 0.000 3.779
Tl 2.239 1.950 3.779
Tl 2.239 -1.950 3.779
S 0.010 1.928 6.109
S 1.129 0.000 1.458
S 0.010 -1.928 6.109
S 4.469 1.928 1.449
S 3.350 0.000 6.099
S 4.469 -1.928 1.449

---

# 5
10
Lattice="6.466 0.000 0.000 0.000 6.466 0.000 0.000 0.000 6.402" Properties=species:S:1:pos:R:3 comment="PBE Y2MgPaS6, optimized geometry" magmom_total_mub_per_fu=1.03 crystal_system=tetragonal spacegroup="P4mm (99)" e_form_raw_ev_per_fu=-14.12 n_ef_per_ev_fu=5.565 pbc="T T T"
Y 0.000 3.233 0.000
Y 3.233 0.000 0.000
Mg 0.000 0.000 3.663
Pa 3.233 3.233 3.773
S 0.000 0.000 1.285
S 1.565 1.565 4.901
S 1.565 4.901 4.901
S 3.233 3.233 1.154
S 4.901 1.565 4.901
S 4.901 4.901 4.901

---

# 6
4
Lattice="4.377 0.000 0.000 0.000 4.377 0.000 0.000 0.000 5.013" Properties=species:S:1:pos:R:3 comment="PBE MgPa2Sb, optimized geometry" magmom_total_mub_per_fu=1.75 crystal_system=tetragonal spacegroup="P4/mmm (123)" e_form_raw_ev_per_fu=-0.42 relative_energy_ev_per_atom=0.0000 n_ef_per_ev_fu=7.598 pbc="T T T"
Mg 0.000 0.000 0.000
Pa 0.000 2.188 2.507
Pa 2.188 0.000 2.507
Sb 2.188 2.188 0.000

---

# 7
4
Lattice="1.593 0.920 11.971 -1.593 0.920 11.971 0.000 -1.840 11.971" Properties=species:S:1:pos:R:3 comment="PBE MgPa2Sb, optimized geometry" magmom_total_mub_per_fu=0.00 crystal_system=trigonal spacegroup="R-3m (166)" e_form_raw_ev_per_fu=0.83 relative_energy_ev_per_atom=0.3129 n_ef_per_ev_fu=8.034 pbc="T T T"
Mg 0.000 0.000 0.000
Pa 0.000 0.000 3.263
Pa 0.000 0.000 32.648
Sb 0.000 0.000 17.956

---

# 8
4
Lattice="0.000 3.699 3.699 3.699 0.000 3.699 3.699 3.699 0.000" Properties=species:S:1:pos:R:3 comment="PBE MgPaSnSb, optimized geometry" magmom_total_mub_per_fu=0.00 crystal_system=cubic spacegroup="F-43m (216)" e_form_raw_ev_per_fu=-0.56 n_ef_per_ev_fu=3.252 pbc="T T T"
Mg 0.000 0.000 0.000
Pa 3.699 3.699 3.699
Sn 5.549 5.549 5.549
Sb 1.850 1.850 1.850

---

# 9
8
Lattice="7.668 0.000 0.000 0.000 4.677 0.000 -3.131 0.000 7.410" Properties=species:S:1:pos:R:3 comment="PBE Sr2MgPaSb4, optimized geometry" magmom_total_mub_per_fu=0.00 crystal_system=monoclinic spacegroup="P2/m (10)" e_form_raw_ev_per_fu=-5.02 n_ef_per_ev_fu=5.551 pbc="T T T"
Sr 0.000 0.000 0.000
Sr 3.834 2.339 0.000
Mg -1.566 2.339 3.705
Pa 2.268 0.000 3.705
Sb -0.439 0.000 5.202
Sb 1.220 2.339 2.037
Sb 3.316 2.339 5.372
Sb 4.975 0.000 2.208

---

# 10
4
Lattice="0.000 3.433 3.433 3.433 0.000 3.433 3.433 3.433 0.000" Properties=species:S:1:pos:R:3 comment="PBE MgPaTcSb, optimized geometry" magmom_total_mub_per_fu=0.00 crystal_system=cubic spacegroup="F-43m (216)" e_form_raw_ev_per_fu=-0.01 n_ef_per_ev_fu=3.555 pbc="T T T"
Mg 0.000 0.000 0.000
Pa 1.716 1.716 1.716
Tc 3.433 3.433 3.433
Sb 5.149 5.149 5.149

---

# 11
6
Lattice="0.000 4.135 4.135 4.135 0.000 4.135 4.135 4.135 0.000" Properties=species:S:1:pos:R:3 comment="PBE Mg4ScPa, optimized geometry" magmom_total_mub_per_fu=0.00 crystal_system=cubic spacegroup="F-43m (216)" e_form_mev_per_atom=199.8 n_ef_per_ev_fu=7.456 pbc="T T T"
Mg 1.035 1.035 1.035
Mg 3.100 3.100 1.035
Mg 3.100 1.035 3.100
Mg 1.035 3.100 3.100
Sc 4.135 4.135 4.135
Pa 6.202 6.202 6.202

---

# 12
4
Lattice="1.552 0.896 11.847 -1.552 0.896 11.847 0.000 -1.793 11.847" Properties=species:S:1:pos:R:3 comment="PBE Mg2ScPa, optimized geometry" magmom_total_mub_per_fu=0.72 crystal_system=trigonal spacegroup="R-3m (166)" e_form_mev_per_atom=272.1 relative_energy_ev_per_atom=0.1334 n_ef_per_ev_fu=6.727 pbc="T T T"
Mg 0.000 0.000 3.229
Mg 0.000 0.000 32.313
Sc 0.000 0.000 17.771
Pa 0.000 0.000 0.000

---

Please write out number 7 again, unchanged.
4
Lattice="1.593 0.920 11.971 -1.593 0.920 11.971 0.000 -1.840 11.971" Properties=species:S:1:pos:R:3 comment="PBE MgPa2Sb, optimized geometry" magmom_total_mub_per_fu=0.00 crystal_system=trigonal spacegroup="R-3m (166)" e_form_raw_ev_per_fu=0.83 relative_energy_ev_per_atom=0.3129 n_ef_per_ev_fu=8.034 pbc="T T T"
Mg 0.000 0.000 0.000
Pa 0.000 0.000 3.263
Pa 0.000 0.000 32.648
Sb 0.000 0.000 17.956

---

Repeat the ninth record exactly.
8
Lattice="7.668 0.000 0.000 0.000 4.677 0.000 -3.131 0.000 7.410" Properties=species:S:1:pos:R:3 comment="PBE Sr2MgPaSb4, optimized geometry" magmom_total_mub_per_fu=0.00 crystal_system=monoclinic spacegroup="P2/m (10)" e_form_raw_ev_per_fu=-5.02 n_ef_per_ev_fu=5.551 pbc="T T T"
Sr 0.000 0.000 0.000
Sr 3.834 2.339 0.000
Mg -1.566 2.339 3.705
Pa 2.268 0.000 3.705
Sb -0.439 0.000 5.202
Sb 1.220 2.339 2.037
Sb 3.316 2.339 5.372
Sb 4.975 0.000 2.208